Arrangement a

# PaRuPt2 (GGA-PBE, relaxed)
# * magnetic moment: 0.0000 μB/atom
data_PaRuPt2
_cell_length_a 6.641
_cell_length_b 6.641
_cell_length_c 6.641
_cell_angle_alpha 90.00
_cell_angle_beta 90.00
_cell_angle_gamma 90.00
_symmetry_space_group_name_H-M 'F m -3 m'
_symmetry_Int_Tables_number 225
_symmetry_space_group_name_Hall '-F 4 2 3'
loop_
_atom_site_label
_atom_site_type_symbol
_atom_site_fract_x
_atom_site_fract_y
_atom_site_fract_z
Pa1 Pa 0.000 0.000 0.000
Ru1 Ru 0.000 0.000 0.500
Pt1 Pt 0.250 0.250 0.250



Arrangement b

# PaRuPt2 (GGA-PBE, relaxed)
# * magnetic moment: 0.0000 μB/atom
data_PaRuPt2
_cell_length_a 4.016
_cell_length_b 4.016
_cell_length_c 4.328
_cell_angle_alpha 90.00
_cell_angle_beta 90.00
_cell_angle_gamma 90.00
_symmetry_space_group_name_H-M 'P 4/m m m'
_symmetry_Int_Tables_number 123
_symmetry_space_group_name_Hall '-P 4 2'
loop_
_atom_site_label
_atom_site_type_symbol
_atom_site_fract_x
_atom_site_fract_y
_atom_site_fract_z
Pa1 Pa 0.000 0.000 0.000
Ru1 Ru 0.500 0.500 0.000
Pt1 Pt 0.000 0.500 0.500



Least stable of them? arrangement a.